No. 1
# La5Ho2Th2 | the Alexandria database | GGA-PBE | relaxed
# Calculated formation energy = 124 meV per atom
# N(E_F) = 14.92 states/eV/f.u.
# DFT total energy = -5.280 eV per atom
data_La5Ho2Th2
_cell_length_a 13.266
_cell_length_b 3.696
_cell_length_c 13.666
_cell_angle_alpha 90.00
_cell_angle_beta 108.94
_cell_angle_gamma 90.00
_symmetry_space_group_name_H-M 'C 1 2/m 1'
_symmetry_Int_Tables_number 12
loop_
_symmetry_equiv_pos_as_xyz
'x,y,z'
'-x,-y,-z'
'-x,y,-z'
'x,-y,z'
'x+1/2,y+1/2,z'
'-x+1/2,-y+1/2,-z'
'-x+1/2,y+1/2,-z'
'x+1/2,-y+1/2,z'
loop_
_atom_site_label
_atom_site_type_symbol
_atom_site_fract_x
_atom_site_fract_y
_atom_site_fract_z
La1 La 0.000 0.000 0.000
La2 La 0.036 0.500 0.701
La3 La 0.180 0.000 0.275
Ho1 Ho 0.231 0.000 0.896
Th1 Th 0.143 0.000 0.525

=====

No. 2
# La2Ho3Th4 | the Alexandria database | GGA-PBE | relaxed
# Calculated formation energy = 56 meV per atom
# N(E_F) = 14.55 states/eV/f.u.
# DFT total energy = -5.863 eV per atom
data_La2Ho3Th4
_cell_length_a 18.732
_cell_length_b 3.610
_cell_length_c 9.748
_cell_angle_alpha 90.00
_cell_angle_beta 115.49
_cell_angle_gamma 90.00
_symmetry_space_group_name_H-M 'C 1 2/m 1'
_symmetry_Int_Tables_number 12
loop_
_symmetry_equiv_pos_as_xyz
'x,y,z'
'-x,-y,-z'
'-x,y,-z'
'x,-y,z'
'x+1/2,y+1/2,z'
'-x+1/2,-y+1/2,-z'
'-x+1/2,y+1/2,-z'
'x+1/2,-y+1/2,z'
loop_
_atom_site_label
_atom_site_type_symbol
_atom_site_fract_x
_atom_site_fract_y
_atom_site_fract_z
La1 La 0.163 0.000 0.499
Ho1 Ho 0.000 0.500 0.500
Ho2 Ho 0.147 0.500 0.164
Th1 Th 0.025 0.000 0.837
Th2 Th 0.184 0.500 0.840

=====

> What is the DFT total energy in the second record?

-5.863 eV per atom

=====

> Among the records above, which one has the lowest N(E_F)?

La2Ho3Th4

=====

> Number 2 is which compound?

La2Ho3Th4

=====

> What is the formula in the first record?

La5Ho2Th2